[1]
The following is a DFT calculation (PBE) of a relaxed Nd2MgOs crystal.

Cell and atoms, written as extended XYZ:
```
4
Lattice="3.4721 0.0000 0.0000 0.0000 3.4721 0.0000 0.0000 0.0000 8.9207" Properties=species:S:1:pos:R:3 pbc="T T T"
Mg 1.7361 1.7361 4.4603
Nd 0.0000 0.0000 7.1783
Nd 0.0000 0.0000 1.7424
Os 1.7361 1.7361 0.0000
```

Values from the calculation:
Fermi-level density of states, states/eV/cell: 2.84
Formation energy, meV per atom: -35.5

=====

[2]
The following is a DFT calculation (PBE) of a relaxed Ca3Si7Ir2 crystal.

Cell and atoms, written as extended XYZ:
```
12
Lattice="4.1609 0.0000 0.0000 0.0000 4.1291 -0.6133 0.0000 0.1668 15.3341" Properties=species:S:1:pos:R:3 pbc="T T T"
Ir 0.0000 3.9667 12.5040
Ir 0.0000 0.3291 2.2168
Si 0.0000 2.5688 3.0891
Ca 2.0805 2.9209 5.4605
Si 0.0000 0.7310 4.9230
Si 0.0000 1.7271 11.6318
Ca 2.0805 2.0645 -0.3067
Si 0.0000 3.5649 9.7978
Si 0.0000 0.0000 0.0000
Ca 2.0805 1.3750 9.2604
Si 2.0805 0.5048 3.3998
Si 2.0805 3.7911 11.3210
```

Values from the calculation:
Fermi-level density of states, states/eV/cell: 6.84
Formation energy from raw total energies, eV per formula unit: -1.83

=====

[3]
The following is a DFT calculation (PBE) of a relaxed CdPSe3 crystal.

Cell and atoms, written as extended XYZ:
```
20
Lattice="-3.2243 4.6806 -3.1619 -6.5968 -3.6464 1.3291 -1.1307 5.3205 8.9848" Properties=species:S:1:pos:R:3 pbc="T T T"
P -5.5588 0.0485 -0.0822
Se -6.5468 3.1725 8.6358
Se -3.3570 5.5612 7.7063
Cd -8.3807 2.3427 6.5489
Se -4.9749 4.9256 1.7480
Se -7.5947 0.7935 -0.5542
Se -4.4050 3.1821 -1.4837
Se -3.1694 3.6064 4.5516
Se -1.1335 2.0685 1.8126
Se -5.9769 1.4291 5.4041
P -1.5148 2.2457 3.9801
Se -9.8182 4.2862 5.3394
P -9.4370 4.1090 3.1719
Se -4.8704 0.8170 1.8698
Cd -4.1170 2.8988 7.1989
Se -7.7824 2.7482 2.6005
P -5.3929 6.3062 7.2343
Cd -6.8347 3.4559 -0.0468
Se -6.0814 5.5376 5.2823
Cd -2.5711 4.0120 0.6031
```

Values from the calculation:
Formation energy from raw total energies, eV per formula unit: -1.29

=====

[4]
The following is a DFT calculation (PBE) of a relaxed HfNpMn crystal.

Cell and atoms, written as extended XYZ:
```
6
Lattice="4.9249 0.0000 0.0000 0.0000 3.8723 0.0000 0.0000 0.0000 6.3795" Properties=species:S:1:pos:R:3 pbc="T T T"
Np 0.0000 0.0000 2.7647
Hf 0.0000 0.0000 5.9649
Np 2.4624 1.9361 3.6148
Hf 2.4624 1.9361 0.4145
Mn 2.4624 0.0000 4.7926
Mn 0.0000 1.9361 1.5869
```

Values from the calculation:
Fermi-level density of states, states/eV/cell: 9.27
Formation energy, meV per atom: 265.5

=====

| no. | DFT total energy (eV/cell) |
| --- | --- |
| 1 | -22.50 |
| 2 | -63.52 |
| 3 | -72.26 |
| 4 | -62.53 |